HoTm2AuC: relaxed, GGA-PBE.

Geometry as extended XYZ:
```
5
Lattice="4.736 0.000 0.000 0.000 4.736 0.000 0.000 0.000 4.894" Properties=species:S:1:pos:R:3 pbc="T T T"
Ho 0.000 0.000 0.000
Tm 0.000 2.368 2.445
Tm 2.368 0.000 2.445
Au 2.368 2.368 0.044
C 0.000 0.000 2.471
```

Properties
- space-group type = No. 99
- electronic total energy (Ha/atom) = -0.2083

=====

MgTeAs2: relaxed, GGA-PBE.

Geometry as extended XYZ:
```
12
Lattice="3.136 0.000 0.000 -1.568 2.716 0.000 0.000 0.000 32.481" Properties=species:S:1:pos:R:3 pbc="T T T"
Mg 0.000 0.000 0.000
Mg 0.000 1.810 21.654
Mg 1.568 0.905 10.827
Te 0.000 0.000 16.241
Te 0.000 1.810 5.414
Te 1.568 0.905 27.068
As 0.000 0.000 8.655
As 0.000 0.000 23.826
As 0.000 1.810 12.999
As 0.000 1.810 30.309
As 1.568 0.905 2.172
As 1.568 0.905 19.482
```

Properties
- space-group type = No. 166
- electronic total energy (Ha/atom) = -0.1225
- ΔE to the lowest computed polymorph (meV per atom) = 423

=====

Os2PdN: relaxed, GGA-PBE.

Geometry as extended XYZ:
```
16
Lattice="4.927 0.000 0.000 0.000 4.927 0.000 0.000 0.000 10.653" Properties=species:S:1:pos:R:3 pbc="T T T"
Os 0.668 1.232 1.332
Os 1.232 3.132 3.995
Os 1.232 4.258 9.322
Os 1.795 1.232 6.658
Os 3.132 3.695 6.658
Os 3.695 0.668 9.322
Os 3.695 1.795 3.995
Os 4.258 3.695 1.332
Pd 0.000 0.000 5.327
Pd 0.000 2.463 7.990
Pd 2.463 0.000 2.663
Pd 2.463 2.463 0.000
N 0.000 0.000 0.000
N 0.000 2.463 2.663
N 2.463 0.000 7.990
N 2.463 2.463 5.327
```

Properties
- space-group type = No. 122
- electronic total energy (Ha/atom) = -0.2933

=====

NaIn2RuBr: relaxed, GGA-PBE.

Geometry as extended XYZ:
```
5
Lattice="5.919 0.000 0.000 0.000 5.919 0.000 0.000 0.000 4.678" Properties=species:S:1:pos:R:3 pbc="T T T"
Na 0.000 0.000 0.000
In 0.000 2.959 2.339
In 2.959 0.000 2.339
Ru 2.959 2.959 0.000
Br 2.959 2.959 2.339
```

Properties
- space-group type = No. 123
- electronic total energy (Ha/atom) = -0.1050

=====

SmAgAu: relaxed, GGA-PBE.

Geometry as extended XYZ:
```
12
Lattice="10.634 0.000 0.000 0.000 4.643 0.000 -4.284 0.000 5.572" Properties=species:S:1:pos:R:3 pbc="T T T"
Sm -0.810 0.000 1.629
Sm 1.843 2.322 3.942
Sm 4.507 2.322 1.629
Sm 7.160 0.000 3.942
Ag 1.253 2.322 0.604
Ag -0.220 0.000 4.968
Ag 6.570 0.000 0.604
Ag 5.097 2.322 4.968
Au -1.213 2.322 3.826
Au 2.246 0.000 1.746
Au 4.104 0.000 3.826
Au 7.563 2.322 1.746
```

Properties
- space-group type = No. 12
- electronic total energy (Ha/atom) = -0.1527
- ΔE to the lowest computed polymorph (meV per atom) = 41

=====

CsPrTl2Cl6: relaxed, GGA-PBE.

Geometry as extended XYZ:
```
10
Lattice="4.034 2.329 6.986 -4.034 2.329 6.986 0.000 -4.659 6.986" Properties=species:S:1:pos:R:3 pbc="T T T"
Cs 0.000 0.000 0.000
Pr 0.000 0.000 10.175
Tl 0.000 0.000 5.907
Tl 0.000 0.000 16.612
Cl -2.127 -0.154 8.350
Cl -1.360 -1.956 11.585
Cl 1.197 -1.765 8.350
Cl -1.014 2.156 11.585
Cl 0.930 1.919 8.350
Cl 2.374 -0.200 11.585
```

Properties
- space-group type = No. 146
- electronic total energy (Ha/atom) = -0.1428

=====

Zr3ReSi: relaxed, GGA-PBE.

Geometry as extended XYZ:
```
5
Lattice="4.836 0.000 0.000 0.000 4.836 0.000 0.000 0.000 4.836" Properties=species:S:1:pos:R:3 pbc="T T T"
Zr 0.000 0.000 2.418
Zr 0.000 2.418 0.000
Zr 2.418 0.000 0.000
Re 2.418 2.418 2.418
Si 0.000 0.000 0.000
```

Properties
- space-group type = No. 221
- electronic total energy (Ha/atom) = -0.2945
- ΔE to the lowest computed polymorph (meV per atom) = 4

=====

SrSb2I: relaxed, GGA-PBE.

Geometry as extended XYZ:
```
16
Lattice="8.122 0.000 0.000 0.000 8.122 0.000 0.000 0.000 8.122" Properties=species:S:1:pos:R:3 pbc="T T T"
Sr 0.000 0.000 0.000
Sr 0.000 4.061 4.061
Sr 4.061 0.000 4.061
Sr 4.061 4.061 0.000
Sb 2.030 2.030 2.030
Sb 2.030 2.030 6.091
Sb 2.030 6.091 2.030
Sb 2.030 6.091 6.091
Sb 6.091 2.030 2.030
Sb 6.091 2.030 6.091
Sb 6.091 6.091 2.030
Sb 6.091 6.091 6.091
I 0.000 0.000 4.061
I 0.000 4.061 0.000
I 4.061 0.000 0.000
I 4.061 4.061 4.061
```

Properties
- space-group type = No. 225
- electronic total energy (Ha/atom) = -0.1055
- ΔE to the lowest computed polymorph (meV per atom) = 623